Sm3Y8Pu | PBE | optimized geometry

Structure (extended XYZ):
```
12
Lattice="-4.347 4.347 5.727 4.347 -4.347 5.727 4.347 4.347 -5.727" Properties=species:S:1:pos:R:3 pbc="T T T"
Sm 0.000 0.000 0.000
Sm 4.347 0.000 2.864
Sm 0.000 4.347 2.864
Y 1.099 -1.099 3.050
Y 2.339 2.339 -0.345
Y 2.008 -2.008 6.072
Y -1.099 1.099 3.050
Y 3.248 3.248 2.677
Y 2.008 2.008 5.382
Y -2.008 2.008 6.072
Y 1.099 1.099 8.405
Pu 0.000 0.000 5.727
```

Calculated values
Its formation energy is 7.1 eV/f.u.


Na2HgGe2 | PBE | optimized geometry

Structure (extended XYZ):
```
10
Lattice="3.784 0.000 0.000 0.000 3.784 0.000 0.000 0.000 17.759" Properties=species:S:1:pos:R:3 pbc="T T T"
Na 0.000 0.000 1.891
Na 0.000 0.000 15.868
Na 1.892 1.892 6.989
Na 1.892 1.892 10.771
Hg 0.000 0.000 8.880
Hg 1.892 1.892 0.000
Ge 0.000 1.892 4.440
Ge 0.000 1.892 13.319
Ge 1.892 0.000 4.440
Ge 1.892 0.000 13.319
```

Calculated values
For the excess energy over the best structure of this formula in the dataset, the calculation gives 64 meV/atom. Its formation energy is -0.1 eV/f.u.


Tm6Si2Bi | PBE | optimized geometry

Structure (extended XYZ):
```
18
Lattice="-4.684 4.735 5.153 4.684 -4.735 5.153 4.684 4.735 -5.153" Properties=species:S:1:pos:R:3 pbc="T T T"
Tm 4.684 2.735 -2.646
Tm 2.624 1.775 0.000
Tm 6.744 1.775 0.000
Tm 1.884 4.735 -1.858
Tm 2.800 0.000 3.295
Tm 0.000 2.000 2.508
Tm 4.684 2.735 2.646
Tm 1.884 4.735 1.858
Tm 2.800 0.000 7.011
Tm -2.060 2.960 5.153
Tm 2.060 2.960 5.153
Tm 0.000 2.000 7.799
Si 4.684 0.000 1.199
Si 0.000 3.504 0.000
Si 0.000 5.965 0.000
Si 0.000 4.735 3.954
Bi 0.000 0.000 0.000
Bi 0.000 0.000 5.153
```

Calculated values
For the formation energy (no corrections), the calculation gives -0.55 eV/atom.


AcLa7Sn3 | PBE | optimized geometry

Structure (extended XYZ):
```
11
Lattice="5.651 -6.195 0.000 5.651 6.195 0.000 -2.936 0.000 5.637" Properties=species:S:1:pos:R:3 pbc="T T T"
Ac 0.000 0.000 0.000
La -1.468 0.000 2.818
La 1.303 2.709 4.573
La 2.884 0.000 1.944
La 7.062 2.709 1.064
La 1.303 -2.709 4.573
La 5.482 0.000 3.693
La 7.062 -2.709 1.064
Sn 4.183 2.943 2.818
Sn 5.651 0.000 0.000
Sn 4.183 -2.943 2.818
```

Calculated values
Its formation energy is -3.0 eV/f.u.


KSbP | PBE | optimized geometry

Structure (extended XYZ):
```
12
Lattice="5.137 0.000 0.000 0.000 5.315 0.000 0.000 0.000 12.191" Properties=species:S:1:pos:R:3 pbc="T T T"
K 0.000 0.000 0.000
K 0.000 2.658 6.095
K 2.569 0.000 6.095
K 2.569 2.658 0.000
Sb 0.000 0.000 8.765
Sb 0.000 2.658 2.670
Sb 2.569 0.000 2.670
Sb 2.569 2.658 8.765
P 0.000 0.000 3.616
P 0.000 2.658 9.712
P 2.569 0.000 9.712
P 2.569 2.658 3.616
```

Calculated values
For the formation energy (no corrections), the calculation gives -0.18 eV/atom. For the excess energy over the best structure of this formula in the dataset, the calculation gives 97 meV/atom.


Rb2LaErSe4 | PBE | optimized geometry

Structure (extended XYZ):
```
8
Lattice="7.521 0.000 0.000 0.000 4.339 0.000 -2.501 0.000 8.002" Properties=species:S:1:pos:R:3 pbc="T T T"
Rb 0.000 0.000 0.000
Rb 3.760 2.169 0.000
La -1.250 2.169 4.001
Er 2.510 0.000 4.001
Se 0.100 0.000 5.599
Se 1.343 2.169 2.438
Se 3.677 2.169 5.564
Se 4.920 0.000 2.402
```

Calculated values
For the formation energy (no corrections), the calculation gives -1.76 eV/atom.


LaIr2Au2 | PBE | optimized geometry

Structure (extended XYZ):
```
10
Lattice="4.184 0.000 0.000 0.000 4.184 0.000 0.000 0.000 12.011" Properties=species:S:1:pos:R:3 pbc="T T T"
La 0.000 0.000 0.000
La 2.092 2.092 6.006
Ir 0.000 0.000 4.834
Ir 0.000 0.000 7.177
Ir 2.092 2.092 1.171
Ir 2.092 2.092 10.840
Au 0.000 2.092 3.003
Au 0.000 2.092 9.008
Au 2.092 0.000 3.003
Au 2.092 0.000 9.008
```

Calculated values
For the excess energy over the best structure of this formula in the dataset, the calculation gives 0 meV/atom. Its formation energy is -1.1 eV/f.u.


ScCu | PBE | optimized geometry

Structure (extended XYZ):
```
8
Lattice="5.854 0.000 0.000 0.000 5.854 0.000 0.000 0.000 5.854" Properties=species:S:1:pos:R:3 pbc="T T T"
Sc 0.000 0.000 0.000
Sc 0.000 2.927 2.927
Sc 2.927 0.000 2.927
Sc 2.927 2.927 0.000
Cu 1.464 1.464 4.391
Cu 1.464 4.391 1.464
Cu 4.391 1.464 1.464
Cu 4.391 4.391 4.391
```

Calculated values
Its formation energy is 1.2 eV/f.u.


Ce4SnGeN | PBE | optimized geometry

Structure (extended XYZ):
```
14
Lattice="3.366 -7.985 0.000 3.366 7.985 0.000 0.000 0.000 6.738" Properties=species:S:1:pos:R:3 pbc="T T T"
Ce 1.683 3.992 0.000
Ce 1.683 3.992 3.369
Ce 3.366 6.707 5.054
Ce 3.366 1.468 5.054
Ce 1.683 -3.992 0.000
Ce 1.683 -3.992 3.369
Ce 3.366 -1.468 1.685
Ce 3.366 -6.707 1.685
Sn 3.366 1.708 1.685
Sn 3.366 -1.708 5.054
Ge 3.366 6.124 1.685
Ge 3.366 -6.124 5.054
N 3.366 4.110 5.054
N 3.366 -4.110 1.685
```

Calculated values
For the formation energy (no corrections), the calculation gives -0.81 eV/atom.


CaHI2O | PBE | optimized geometry

Structure (extended XYZ):
```
5
Lattice="6.348 0.000 0.000 0.000 6.348 0.000 0.000 0.000 4.416" Properties=species:S:1:pos:R:3 pbc="T T T"
Ca 0.000 0.000 0.000
H 3.174 3.174 2.208
I 0.000 3.174 0.000
I 3.174 0.000 0.000
O 0.000 0.000 2.208
```

Calculated values
For the excess energy over the best structure of this formula in the dataset, the calculation gives 0 meV/atom.


LaAsBr2 | PBE | optimized geometry

Structure (extended XYZ):
```
8
Lattice="4.105 0.000 0.000 0.000 4.664 0.000 0.000 0.000 15.263" Properties=species:S:1:pos:R:3 pbc="T T T"
La 0.000 0.000 0.000
La 2.052 2.332 7.632
As 0.000 0.000 7.632
As 2.052 2.332 0.000
Br 0.000 2.332 5.328
Br 0.000 2.332 9.935
Br 2.052 0.000 2.303
Br 2.052 0.000 12.960
```

Calculated values
For the formation energy (no corrections), the calculation gives -1.06 eV/atom. For the excess energy over the best structure of this formula in the dataset, the calculation gives 206 meV/atom.


Sc6NiPd3 | PBE | optimized geometry

Structure (extended XYZ):
```
20
Lattice="6.368 0.000 0.000 0.000 7.147 0.000 -6.168 0.000 9.151" Properties=species:S:1:pos:R:3 pbc="T T T"
Sc -1.072 0.351 2.239
Sc -4.156 3.222 6.814
Sc 0.919 4.868 0.588
Sc -2.165 5.852 5.163
Sc 2.189 1.173 0.545
Sc -0.895 2.401 5.120
Sc 1.095 4.746 4.030
Sc -1.989 5.974 8.606
Sc 2.364 1.294 3.987
Sc -0.720 2.279 8.563
Sc 4.355 3.924 2.337
Sc 1.271 6.795 6.912
Ni 0.000 0.000 0.000
Ni -3.084 3.573 4.575
Pd -2.626 0.886 6.842
Pd 0.458 2.687 2.266
Pd 0.100 0.000 4.575
Pd 3.184 3.573 0.000
Pd -0.258 4.459 6.884
Pd 2.826 6.260 2.309
```

Calculated values
Its formation energy is -5.1 eV/f.u.


Question: What is the formula in the eighth record?
Answer: ScCu